{"formula": "La3DyZn", "functional": "PBE", "state": "optimized geometry", "total_magnetization_mub_per_atom": 0.0000, "energy_ev_per_cell": -41.071, "space_group": "P2_1/m, No. 11", "formation_energy_ev_per_fu": 0.12, "cell": [[3.782, 0.000, 0.000], [0.000, 11.044, 0.000], [-0.015, 0.000, 8.043]], "species": ["La", "La", "La", "La", "La", "La", "Dy", "Dy", "Zn", "Zn"], "frac_coords": [[0.249, 0.028, 0.255], [0.249, 0.472, 0.255], [0.250, 0.250, 0.648], [0.750, 0.750, 0.352], [0.751, 0.528, 0.745], [0.751, 0.972, 0.745], [0.251, 0.750, 0.997], [0.749, 0.250, 0.003], [0.251, 0.750, 0.645], [0.749, 0.250, 0.355]]}